Below is Fe2AgIr2 after structural relaxation, with properties calculated at the PBE level.

The total energy comes out at -6.831 eV/atom. The value obtained for the density is 12.13 g/cm³. Its formation energy is 599 meV per atom.

a = 4.3084 Å, b = 4.3084 Å, c = 10.2897 Å
α = 90.00°, β = 90.00°, γ = 120.00°
Space group P6_3/mmc (No. 194)
One atom of each set of equivalent atoms:
Fe  0.3333  0.6667  0.1239 x4
Ag  0.0000  0.0000  0.0000 x2
Ir  0.3333  0.6667  0.6317 x4

Below is GdSiHO4 after structural relaxation, with properties calculated at the PBE level.

The total energy comes out at -7.419 eV/atom. The value obtained for the density is 5.72 g/cm³. For the excess energy over the best structure of this formula in the dataset, the calculation gives 0.052 eV/atom.

a = 4.488 Å, b = 6.682 Å, c = 4.881 Å
α = 90.00°, β = 96.95°, γ = 90.00°
Space group P2_1/m (No. 11)
One atom of each set of equivalent atoms:
Gd  0.072  0.250  0.200 x2
Si  0.434  0.750  0.307 x2
H  0.500  0.000  0.000 x2
O  0.204  0.250  0.693 x2
O  0.289  0.558  0.116 x4
O  0.369  0.750  0.622 x2

Below is Be2AsP3Os2 after structural relaxation, with properties calculated at the PBE level.

The total energy comes out at -6.256 eV/atom. The value obtained for the density is 6.71 g/cm³.

a = 11.750 Å, b = 5.162 Å, c = 5.093 Å
α = 90.00°, β = 114.84°, γ = 90.00°
Space group C2 (No. 5)
One atom of each set of equivalent atoms:
Be  0.131  0.000  0.363 x4
As  0.000  0.755  0.500 x2
P  0.000  0.222  0.000 x2
P  0.250  0.228  0.737 x4
Os  0.129  0.476  0.884 x4

Q: Look up the density of the second one.
A: 5.72 g/cm³